Mn2SCl: single point on PBEsol structure, meta-GGA SCAN.

```
Mn2SCl
1.0
6.307 0.000 0.000
0.000 6.307 0.000
0.000 0.000 6.307
Mn S Cl
8 4 4
direct
0.250 0.250 0.250
0.250 0.250 0.750
0.250 0.750 0.250
0.250 0.750 0.750
0.750 0.250 0.250
0.750 0.250 0.750
0.750 0.750 0.250
0.750 0.750 0.750
0.000 0.000 0.000
0.000 0.500 0.500
0.500 0.000 0.500
0.500 0.500 0.000
0.000 0.000 0.500
0.000 0.500 0.000
0.500 0.000 0.000
0.500 0.500 0.500
```

Computed properties:
VASP energy = -14.043 eV/atom
Density = 4.70 g/cm3
Space group = No. 225
Spin magnetization = 9.0 μB/f.u.
Crystal system = cubic

=====

Zr2TlTeSe: single point on PBEsol structure, meta-GGA SCAN.

```
Zr2TlTeSe
1.0
5.421 0.000 0.000
0.000 5.421 0.000
0.000 0.000 5.296
Zr Tl Te Se
2 1 1 1
direct
0.000 0.500 0.000
0.500 0.000 0.000
0.000 0.000 0.000
0.000 0.000 0.500
0.500 0.500 0.500
```

Computed properties:
VASP energy = -37.277 eV/atom
Density = 6.33 g/cm3
Space group = No. 123
Spin magnetization = 1.3 μB/f.u.
Crystal system = tetragonal

=====

NaPt2: single point on PBEsol structure, meta-GGA SCAN.

```
NaPt2
1.0
10.518 0.000 0.000
0.000 2.713 0.000
-2.203 0.000 6.580
Na Pt
4 8
direct
0.000 0.000 0.000
0.152 0.500 0.345
0.500 0.500 0.000
0.652 0.000 0.345
0.045 0.000 0.626
0.231 0.500 0.947
0.323 0.000 0.666
0.374 0.000 0.288
0.545 0.500 0.626
0.731 0.000 0.947
0.823 0.500 0.666
0.874 0.500 0.288
```

Computed properties:
Formation energy = -0.1731 eV/atom
Density = 14.61 g/cm3
Space group = No. 8
Spin magnetization = 0.0 μB/f.u.
Crystal system = monoclinic

=====

Rb3SmCl6: single point on PBEsol structure, meta-GGA SCAN.

```
Rb3SmCl6
1.0
0.000 5.703 5.703
5.703 0.000 5.703
5.703 5.703 0.000
Rb Sm Cl
3 1 6
direct
0.000 0.000 0.000
0.250 0.250 0.250
0.750 0.750 0.750
0.500 0.500 0.500
0.267 0.267 0.733
0.267 0.733 0.267
0.267 0.733 0.733
0.733 0.267 0.267
0.733 0.267 0.733
0.733 0.733 0.267
```

Computed properties:
VASP energy = -17.745 eV/atom
Density = 2.77 g/cm3
Space group = No. 225
Spin magnetization = 0.0 μB/f.u.
Crystal system = cubic

=====

MnB4: single point on PBEsol structure, meta-GGA SCAN.

```
MnB4
1.0
4.563 0.000 0.000
0.000 5.332 0.000
0.000 0.000 2.919
Mn B
2 8
direct
0.000 0.000 0.000
0.500 0.500 0.500
0.165 0.369 0.000
0.237 0.684 0.000
0.263 0.184 0.500
0.335 0.869 0.500
0.665 0.131 0.500
0.737 0.816 0.500
0.763 0.316 0.000
0.835 0.631 0.000
```

Computed properties:
Formation energy = -0.2955 eV/atom
Density = 4.59 g/cm3
Space group = No. 58
Spin magnetization = 0.6 μB/f.u.
Crystal system = orthorhombic

=====

PmCdAu2: single point on PBEsol structure, meta-GGA SCAN.

```
PmCdAu2
1.0
6.949 0.000 0.000
0.000 6.949 0.000
0.000 0.000 6.949
Pm Cd Au
4 4 8
direct
0.000 0.000 0.000
0.000 0.500 0.500
0.500 0.000 0.500
0.500 0.500 0.000
0.000 0.000 0.500
0.000 0.500 0.000
0.500 0.000 0.000
0.500 0.500 0.500
0.250 0.250 0.250
0.250 0.250 0.750
0.250 0.750 0.250
0.250 0.750 0.750
0.750 0.250 0.250
0.750 0.250 0.750
0.750 0.750 0.250
0.750 0.750 0.750
```

Computed properties:
Formation energy = -0.7987 eV/atom
Density = 12.89 g/cm3
Space group = No. 225
Spin magnetization = 0.0 μB/f.u.
Crystal system = cubic

=====

CoTeRu2: single point on PBEsol structure, meta-GGA SCAN.

```
CoTeRu2
1.0
3.972 0.000 0.000
0.000 3.972 0.000
0.000 0.000 7.107
Co Te Ru
2 2 4
direct
0.000 0.000 0.000
0.500 0.500 0.500
0.000 0.000 0.500
0.500 0.500 0.000
0.000 0.500 0.250
0.000 0.500 0.750
0.500 0.000 0.250
0.500 0.000 0.750
```

Computed properties:
VASP energy = -30.789 eV/atom
Density = 11.51 g/cm3
Space group = No. 139
Spin magnetization = 1.8 μB/f.u.
Crystal system = tetragonal

=====

Be2TeP: single point on PBEsol structure, meta-GGA SCAN.

```
Be2TeP
1.0
3.554 0.000 0.000
0.000 3.554 0.000
0.000 0.000 5.431
Be Te P
2 1 1
direct
0.000 0.500 0.000
0.500 0.000 0.000
0.000 0.000 0.671
0.500 0.500 0.221
```

Computed properties:
VASP energy = -14.182 eV/atom
Density = 4.28 g/cm3
Space group = No. 99
Spin magnetization = 0.0 μB/f.u.
Crystal system = tetragonal